Compound: Ac2GePd6Rh
Source: the Alexandria database
Functional: PBE
Structure: relaxed

a = 6.615 Å, b = 6.615 Å, c = 8.742 Å
α = 127.90°, β = 127.90°, γ = 48.68°
Fractional coordinates of all 10 atoms:
1 Ac 0.231 0.231 0.197
2 Ac 0.769 0.769 0.803
3 Ge 0.000 0.000 0.500
4 Pd 0.248 0.744 0.259
5 Pd 0.249 0.249 0.594
6 Pd 0.256 0.752 0.741
7 Pd 0.744 0.248 0.259
8 Pd 0.751 0.751 0.406
9 Pd 0.752 0.256 0.741
10 Rh 0.500 0.500 0.000

Calculated values
crystal system = monoclinic
ΔH_f (0 K) = -59.4 kJ per mole of atoms
total energy = -5.750 eV/atom